No. 1
First-principles (PBE) data for a geometry-optimized Ac2ErTl3 structure, as listed in the Alexandria database.

Output
* calculated total energy: -0.1340 hartree per atom

Lattice parameters (Å, degrees): 3.9622 3.9622 12.3338 90.00 90.00 90.00
With the nearest neighbours (Å) after each atom.
Space group P4/mmm (No. 123)
Symmetry-distinct sites (fractional):
Ac: 0.0000 0.0000 0.1781  8 Tl 3.56-3.59, 4 Ac 3.96, 1 Er 3.97
Er: 0.0000 0.0000 0.5000  8 Tl 3.29
Tl: 0.5000 0.5000 0.0000  8 Ac 3.56, 4 Tl 3.96
Tl: 0.5000 0.5000 0.3605  4 Er 3.29, 1 Tl 3.44, 4 Ac 3.59

---

No. 2
First-principles (PBE) data for a geometry-optimized AcEr4Tl5 structure, as listed in the Alexandria database.

Output
* calculated total energy: -0.1373 hartree per atom

Lattice parameters (Å, degrees): 3.7821 3.7821 19.7970 90.00 90.00 90.00
With the nearest neighbours (Å) after each atom.
Space group P4/mmm (No. 123)
Symmetry-distinct sites (fractional):
Ac: 0.0000 0.0000 0.0000  8 Tl 3.57, 4 Ac 3.78
Er: 0.0000 0.0000 0.2139  8 Tl 3.26-3.29
Er: 0.0000 0.0000 0.4053  8 Tl 3.26-3.27
Tl: 0.5000 0.5000 0.1194  4 Er 3.26, 4 Ac 3.57
Tl: 0.5000 0.5000 0.3111  8 Er 3.26-3.29
Tl: 0.5000 0.5000 0.5000  8 Er 3.27

---

No. 3
First-principles (PBE) data for a geometry-optimized AcEr2Tl3 structure, as listed in the Alexandria database.

Output
* calculated total energy: -0.1364 hartree per atom

Lattice parameters (Å, degrees): 3.8523 3.8523 11.8861 90.00 90.00 90.00
With the nearest neighbours (Å) after each atom.
Space group P4/mmm (No. 123)
Symmetry-distinct sites (fractional):
Ac: 0.0000 0.0000 0.0000  8 Tl 3.57, 4 Ac 3.85
Er: 0.0000 0.0000 0.3449  8 Tl 3.26-3.29
Tl: 0.5000 0.5000 0.1943  4 Er 3.26, 4 Ac 3.57, 1 Tl 3.63
Tl: 0.5000 0.5000 0.5000  8 Er 3.29, 2 Tl 3.63

---

No. 4
First-principles (PBE) data for a geometry-optimized AcErTl2 structure, as listed in the Alexandria database.

Output
* calculated total energy: -0.1328 hartree per atom

Lattice parameters (Å, degrees): 5.3070 5.3070 4.4664 90.00 90.00 90.00
With the nearest neighbours (Å) after each atom.
Space group P4/mmm (No. 123)
Symmetry-distinct sites (fractional):
Ac: 0.0000 0.0000 0.0000  8 Tl 3.47, 4 Er 3.75
Er: 0.5000 0.5000 0.0000  8 Tl 3.47, 4 Ac 3.75
Tl: 0.0000 0.5000 0.5000  4 Er 3.47, 4 Ac 3.47, 4 Tl 3.75

---

No. 5
First-principles (PBE) data for a geometry-optimized Ac2ErTl2 structure, as listed in the Alexandria database.

Output
* energy relative to the lowest polymorph listed for this composition: 18 meV per atom
* calculated total energy: -0.1388 hartree per atom

Lattice parameters (Å, degrees): 4.9735 7.1095 10.0266 90.00 90.00 90.00
With the nearest neighbours (Å) after each atom.
Space group Immm (No. 71)
Symmetry-distinct sites (fractional):
Ac: 0.0000 0.0000 0.1959  6 Tl 3.56-3.60, 1 Ac 3.93, 2 Er 3.93
Er: 0.0000 0.5000 0.0000  4 Tl 3.14
Tl: 0.0000 0.2704 0.5000  2 Er 3.14, 1 Tl 3.26

---

No. 6
First-principles (PBE) data for a geometry-optimized AcErTl2 structure, as listed in the Alexandria database.

Output
* calculated total energy: -0.1352 hartree per atom

Lattice parameters (Å, degrees): 3.8906 3.8906 8.1191 90.00 90.00 90.00
With the nearest neighbours (Å) after each atom.
Space group P4/mmm (No. 123)
Symmetry-distinct sites (fractional):
Ac: 0.0000 0.0000 0.0000  8 Tl 3.57, 4 Ac 3.89
Er: 0.0000 0.0000 0.5000  8 Tl 3.28
Tl: 0.5000 0.5000 0.2800  4 Er 3.28, 4 Ac 3.57, 1 Tl 3.57

---

No. 7
First-principles (PBE) data for a geometry-optimized AcEr2Tl structure, as listed in the Alexandria database.

Output
* energy relative to the lowest polymorph listed for this composition: 175 meV per atom
* calculated total energy: -0.1420 hartree per atom

Lattice parameters (Å, degrees): 5.2085 5.2085 17.9164 90.00 90.00 120.00
With the nearest neighbours (Å) after each atom.
Space group R3m (No. 160, hexagonal axes)
Symmetry-distinct sites (fractional):
Ac: 0.0000 0.0000 0.0000  4 Tl 3.66-3.79, 7 Er 3.67-3.84
Er: 0.0000 0.0000 0.5496  3 Tl 3.01
Er: 0.0000 0.0000 0.7857  3 Tl 3.37, 3 Er 3.48, 3 Ac 3.69
Tl: 0.0000 0.0000 0.2044  6 Er 3.01-3.37

---

No. 8
First-principles (PBE) data for a geometry-optimized Ac5Er2Tl4 structure, as listed in the Alexandria database.

Output
* calculated total energy: -0.1340 hartree per atom

Lattice parameters (Å, degrees): 23.6629 3.8580 8.9842 90.00 96.96 90.00
With the nearest neighbours (Å) after each atom.
Space group C2/m (No. 12)
Symmetry-distinct sites (fractional):
Ac: 0.0000 0.0000 0.0000  8 Tl 3.40-3.63
Ac: 0.1593 0.5000 0.8963  2 Tl 3.44-3.53, 2 Ac 3.86
Ac: 0.2344 0.5000 0.3254  1 Tl 3.32, 2 Ac 3.68
Er: 0.1124 0.0000 0.5146  4 Tl 3.26
Tl: 0.0258 0.5000 0.6721  2 Tl 3.12-3.18, 2 Er 3.26
Tl: 0.0948 0.5000 0.2201  1 Tl 3.12, 2 Er 3.26, 4 Ac 3.32-3.44

---

ΔE_f in eV/atom, matching the order above: -0.3340, -0.3171, -0.3225, -0.2630, -0.2748, -0.3285, 0.0360, -0.0883
Magnetic moment in μB/cell, matching the order above: 0.00, 0.00, 0.00, 0.10, 0.01, 0.00, 0.00, 0.00